(1)
KLiS2 | PBEsol | optimized geometry

crystal system: tetragonal
ΔE_f (raw): -0.876 eV/atom
E_tot: -61.493 eV per cell
total magnetic moment: 0.0 μB per cell

a = 4.864 Å, b = 4.864 Å, c = 15.700 Å
α = 90.00°, β = 90.00°, γ = 90.00°
Space group I-42d (No. 122)
Inequivalent atoms, fractional coordinates:
K 0.000 0.000 0.000 (multiplicity 4)
Li 0.000 0.000 0.500 (multiplicity 4)
S 0.054 0.750 0.625 (multiplicity 8)



(2)
KLi3S | PBEsol | optimized geometry

crystal system: cubic
ΔE_f (raw): -0.531 eV/atom
E_tot: -14.075 eV per cell
total magnetic moment: 0.0 μB per cell

a = 4.938 Å, b = 4.938 Å, c = 4.938 Å
α = 90.00°, β = 90.00°, γ = 90.00°
Space group Pm-3m (No. 221)
Inequivalent atoms, fractional coordinates:
K 0.000 0.000 0.000 (multiplicity 1)
Li 0.000 0.500 0.500 (multiplicity 3)
S 0.500 0.500 0.500 (multiplicity 1)



(3)
KLi2ZrS | PBEsol | optimized geometry

crystal system: tetragonal
ΔE_f (raw): 1.226 eV/atom
E_tot: -12.412 eV per cell
total magnetic moment: 3.0 μB per cell

a = 5.300 Å, b = 5.300 Å, c = 6.166 Å
α = 90.00°, β = 90.00°, γ = 90.00°
Space group P4/mmm (No. 123)
Inequivalent atoms, fractional coordinates:
K 0.000 0.000 0.000 (multiplicity 1)
Li 0.000 0.500 0.500 (multiplicity 2)
Zr 0.000 0.000 0.500 (multiplicity 1)
S 0.500 0.500 0.000 (multiplicity 1)



(4)
KLi2Sb | PBEsol | optimized geometry

crystal system: monoclinic
ΔE_f (raw): -0.276 eV/atom
E_tot: -10.730 eV per cell
total magnetic moment: 0.0 μB per cell

a = 3.405 Å, b = 4.884 Å, c = 7.425 Å
α = 90.00°, β = 103.23°, γ = 90.00°
Space group Pm (No. 6)
Inequivalent atoms, fractional coordinates:
K 0.000 0.000 0.000 (multiplicity 1)
Li 0.283 0.000 0.563 (multiplicity 1)
Li 0.712 0.500 0.422 (multiplicity 1)
Sb 0.364 0.500 0.728 (multiplicity 1)



| no. | D(E_F) (states/eV per cell) |
| --- | --- |
| 1 | 4.48 |
| 2 | 0.67 |
| 3 | 5.37 |
| 4 | 1.63 |